This record from the Alexandria database describes LaHgB after structural relaxation. The functional is PBE-GGA.

Lattice parameters (Å, degrees): 3.225 10.868 3.860 100.23 90.00 82.58
Atoms (fractional coordinates):
B  0.511  0.635  0.371
Hg  0.350  0.004  0.556
La  0.593  0.446  0.777
B  0.030  0.591  0.349
Hg  0.191  0.222  0.165
La  0.948  0.781  0.944

Results
volume = 22.00 Å³/atom
ΔE_f = -1.17 eV/f.u.
theoretical density = 8815 kg/m3